Entry 1:
SrSiHBr2 | PBE | relaxed

The space group is P4/mmm (No. 123) and the conventional cell measures 5.414, 5.414 and 3.696 Å, with angles of 90.00, 90.00 and 90.00 degrees. The inequivalent atoms are Sr at (0.000, 0.000, 0.000), Si at (0.500, 0.500, 0.000), H at (0.500, 0.500, 0.500) and Br at (0.000, 0.500, 0.500).

The spin magnetization comes out at 0.000 μB/cell. Its total DFT energy (no corrections) is -15.698 eV per cell.

Entry 2:
NbIr2WI | PBE | relaxed

The space group is P4/mmm (No. 123) and the conventional cell measures 4.815, 4.815 and 5.024 Å, with angles of 90.00, 90.00 and 90.00 degrees. The inequivalent atoms are Nb at (0.000, 0.000, 0.000), Ir at (0.000, 0.500, 0.500), W at (0.000, 0.000, 0.500) and I at (0.500, 0.500, 0.000).

For the formation energy without anion corrections, the calculation gives 1.60 eV per atom. The spin magnetization comes out at 1.501 μB/cell. Its total DFT energy (no corrections) is -34.284 eV per cell.

Entry 3:
ZrV2Co9 | PBE | relaxed

The space group is P4/mbm (No. 127) and the conventional cell measures 7.948, 7.948 and 4.592 Å, with angles of 90.00, 90.00 and 90.00 degrees. The inequivalent atoms are Zr at (0.000, 0.000, 0.000), V at (0.119, 0.381, 0.000), Co at (0.000, 0.500, 0.500), Co at (0.060, 0.208, 0.500) and Co at (0.180, 0.680, 0.238).

The spin magnetization comes out at 13.427 μB/cell. Its total DFT energy (no corrections) is -184.565 eV per cell.

Entry 4:
TlCdBiAu | PBE | relaxed

The space group is R3m (No. 160, hexagonal axes) and the conventional cell measures 4.6207, 4.6207 and 18.7402 Å, with angles of 90.00, 90.00 and 120.00 degrees. The inequivalent atoms are Tl at (0.0000, 0.0000, 0.0000), Cd at (0.0000, 0.0000, 0.4276), Bi at (0.0000, 0.0000, 0.2100) and Au at (0.0000, 0.0000, 0.8155).

The calculation puts the energy above the most stable polymorph in this dataset at 0 meV per atom. The spin magnetization comes out at 0.000 μB/cell. Its total DFT energy (no corrections) is -31.479 eV per cell.

Entry 5:
Sr4TlAg2 | PBE | relaxed

The space group is R-3m (No. 166, hexagonal axes) and the conventional cell measures 5.6497, 5.6497 and 27.1500 Å, with angles of 90.00, 90.00 and 120.00 degrees. The inequivalent atoms are Sr at (0.0000, 0.0000, 0.1236), Sr at (0.0000, 0.0000, 0.3743), Tl at (0.0000, 0.0000, 0.5000) and Ag at (0.0000, 0.0000, 0.2503).

The spin magnetization comes out at 0.000 μB/cell. Its total DFT energy (no corrections) is -49.729 eV per cell.

Entry 6:
LaCoTc | PBE | relaxed

The space group is Fmm2 (No. 42) and the conventional cell measures 4.274, 4.966 and 10.788 Å, with angles of 90.00, 90.00 and 90.00 degrees. The inequivalent atoms are La at (0.000, 0.000, 0.000), Co at (0.000, 0.000, 0.291) and Tc at (0.000, 0.000, 0.709).

The calculation puts the energy above the most stable polymorph in this dataset at 219 meV per atom. The spin magnetization comes out at 0.004 μB/cell. Its total DFT energy (no corrections) is -86.195 eV per cell.

Entry 7:
K2Cr3S6 | PBE | relaxed

The space group is C2/m (No. 12) and the conventional cell measures 6.112, 10.583 and 7.650 Å, with angles of 90.00, 105.37 and 90.00 degrees. The inequivalent atoms are K at (0.000, 0.167, 0.000), Cr at (0.000, 0.000, 0.500), Cr at (0.000, 0.334, 0.500), S at (0.224, 0.500, 0.676) and S at (0.225, 0.166, 0.674).

For the formation energy without anion corrections, the calculation gives -0.87 eV per atom. The spin magnetization comes out at 15.989 μB/cell. Its total DFT energy (no corrections) is -130.861 eV per cell.

Entry 8:
NdDy2Pb9 | PBE | relaxed

The space group is P4/mmm (No. 123) and the conventional cell measures 4.899, 4.899 and 14.671 Å, with angles of 90.00, 90.00 and 90.00 degrees. The inequivalent atoms are Nd at (0.000, 0.000, 0.000), Dy at (0.000, 0.000, 0.334), Pb at (0.000, 0.500, 0.170), Pb at (0.000, 0.500, 0.500), Pb at (0.500, 0.500, 0.000) and Pb at (0.500, 0.500, 0.335).

The spin magnetization comes out at 0.000 μB/cell. Its total DFT energy (no corrections) is -51.051 eV per cell.

Entry 9:
Mn2CI | PBE | relaxed

The space group is I-42d (No. 122) and the conventional cell measures 5.191, 5.191 and 10.740 Å, with angles of 90.00, 90.00 and 90.00 degrees. The inequivalent atoms are Mn at (0.108, 0.250, 0.125), C at (0.000, 0.000, 0.000) and I at (0.000, 0.000, 0.500).

For the formation energy without anion corrections, the calculation gives 0.54 eV per atom. The spin magnetization comes out at 24.692 μB/cell. Its total DFT energy (no corrections) is -107.888 eV per cell.

Entry 10:
Cd4Ga2Hg | PBE | relaxed

The space group is I4/mmm (No. 139) and the conventional cell measures 5.562, 5.562 and 13.663 Å, with angles of 90.00, 90.00 and 90.00 degrees. The inequivalent atoms are Cd at (0.000, 0.000, 0.207), Cd at (0.000, 0.500, 0.000), Ga at (0.000, 0.000, 0.404) and Hg at (0.000, 0.000, 0.000).

The calculation puts the energy above the most stable polymorph in this dataset at 222 meV per atom. The spin magnetization comes out at 0.000 μB/cell. Its total DFT energy (no corrections) is -16.184 eV per cell.